No. 1
Entry from the Alexandria database: a relaxed Nd2Ag17 crystal (GGA-PBE).

Calculated values
* formation enthalpy at 0 K: -1.1 eV per formula unit

Cell: 9.6394 9.6394 14.3098 Å, 90.00 90.00 120.00°
With the nearest neighbours (Å) after each atom.
Space group R-3m (No. 166, hexagonal axes)
Asymmetric unit:
Nd: 0.0000 0.0000 0.1569 [6 per cell]  19 Ag 3.38-3.76
Ag: 0.0000 0.0000 0.3997 [6 per cell]  7 Ag 2.87-3.06
Ag: 0.0000 0.3014 0.5000 [18 per cell]  8 Ag 2.81-3.00
Ag: 0.0000 0.5000 0.0000 [9 per cell]  10 Ag 2.81-2.94
Ag: 0.0050 0.5025 0.6514 [18 per cell]  9 Ag 2.78-3.06

***

No. 2
Entry from the Alexandria database: a relaxed GeTeSeN2 crystal (GGA-PBE).

Calculated values
* energy relative to the lowest polymorph listed for this composition: 0.022 eV/atom
* raw formation energy: 1.22 eV/atom

Cell: 3.9664 3.9664 5.1593 Å, 90.00 90.00 90.00°
With the nearest neighbours (Å) after each atom.
Space group P4/mmm (No. 123)
Asymmetric unit:
Ge: 0.0000 0.0000 0.0000 [1 per cell]  4 N 1.98
Te: 0.5000 0.5000 0.5000 [1 per cell]  4 Se 2.80
Se: 0.0000 0.0000 0.5000 [1 per cell]  2 Ge 2.58, 4 Te 2.80
N: 0.0000 0.5000 0.0000 [2 per cell]  2 Ge 1.98

***

No. 3
Entry from the Alexandria database: a relaxed LaNd8Er5 crystal (GGA-PBE).

Calculated values
* formation enthalpy at 0 K: 3.2 eV per formula unit

Cell: 9.6232 9.6232 10.4787 Å, 90.00 90.00 90.00°
With the nearest neighbours (Å) after each atom.
Space group I-4 (No. 82)
Asymmetric unit:
La: 0.0000 0.0000 0.0000 [2 per cell]  4 Nd 3.21
Nd: 0.0705 0.8252 0.6466 [8 per cell]  5 Er 3.38-3.62, 3 Nd 3.63-3.64
Nd: 0.0884 0.6782 0.9991 [8 per cell]  1 La 3.21, 4 Er 3.24-3.54
Er: 0.0000 0.5000 0.7500 [2 per cell]  8 Nd 3.24-3.38
Er: 0.1114 0.7036 0.3219 [8 per cell]  8 Nd 3.40-3.62, 2 Er 3.50

***

No. 4
Entry from the Alexandria database: a relaxed CaScCd2 crystal (GGA-PBE).

Calculated values
* formation enthalpy at 0 K: -0.4 eV per formula unit

Cell: 4.5670 4.5670 9.5998 Å, 90.00 90.00 90.00°
With the nearest neighbours (Å) after each atom.
Space group I-4m2 (No. 119)
Asymmetric unit:
Ca: 0.0000 0.0000 0.0000 [2 per cell]  8 Cd 3.23-3.31, 4 Sc 3.31
Sc: 0.0000 0.5000 0.2500 [2 per cell]  8 Cd 3.23-3.31, 4 Ca 3.31
Cd: 0.0000 0.0000 0.5000 [2 per cell]  4 Ca 3.23, 4 Cd 3.31, 4 Sc 3.31
Cd: 0.0000 0.5000 0.7500 [2 per cell]  4 Sc 3.23, 4 Cd 3.31, 4 Ca 3.31

***

No. 5
Entry from the Alexandria database: a relaxed CaVRh3 crystal (GGA-PBE).

Calculated values
* energy relative to the lowest polymorph listed for this composition: 0.000 eV/atom
* formation enthalpy at 0 K: 0.0 eV per formula unit

Cell: 4.5635 4.5635 4.5635 Å, 90.00 90.00 90.00°
With the nearest neighbours (Å) after each atom.
Space group Pm-3m (No. 221)
Asymmetric unit:
Ca: 0.0000 0.0000 0.0000 [1 per cell]  12 Rh 3.23
V: 0.5000 0.5000 0.5000 [1 per cell]  6 Rh 2.28
Rh: 0.0000 0.5000 0.5000 [3 per cell]  2 V 2.28

***

No. 6
Entry from the Alexandria database: a relaxed TbTmNiPd crystal (GGA-PBE).

Calculated values
* energy relative to the lowest polymorph listed for this composition: 0.040 eV/atom
* formation enthalpy at 0 K: -2.6 eV per formula unit

Cell: 6.8786 6.8786 6.8786 Å, 90.00 90.00 90.00°
With the nearest neighbours (Å) after each atom.
Space group F-43m (No. 216)
Asymmetric unit:
Tb: 0.0000 0.0000 0.0000 [4 per cell]  4 Ni 2.98, 4 Pd 2.98
Tm: 0.0000 0.0000 0.5000 [4 per cell]  4 Ni 2.98, 4 Pd 2.98
Ni: 0.2500 0.2500 0.7500 [4 per cell]  4 Tb 2.98, 4 Tm 2.98
Pd: 0.2500 0.2500 0.2500 [4 per cell]  4 Tb 2.98, 4 Tm 2.98

***

No. 7
Entry from the Alexandria database: a relaxed RbW3Br crystal (GGA-PBE).

Calculated values
* energy relative to the lowest polymorph listed for this composition: 0.000 eV/atom
* raw formation energy: 2.65 eV/atom

Cell: 4.8102 4.8102 4.8102 Å, 90.00 90.00 90.00°
With the nearest neighbours (Å) after each atom.
Space group Pm-3m (No. 221)
Asymmetric unit:
Rb: 0.0000 0.0000 0.0000 [1 per cell]  12 W 3.40
W: 0.0000 0.5000 0.5000 [3 per cell]  2 Br 2.41
Br: 0.5000 0.5000 0.5000 [1 per cell]  6 W 2.41

***

No. 8
Entry from the Alexandria database: a relaxed IrOs4Pb crystal (GGA-PBE).

Calculated values
* formation enthalpy at 0 K: 6.7 eV per formula unit

Cell: 7.4002 7.4002 7.4002 Å, 90.00 90.00 90.00°
With the nearest neighbours (Å) after each atom.
Space group F-43m (No. 216)
Asymmetric unit:
Ir: 0.0000 0.0000 0.0000 [4 per cell]  12 Os 3.06, 4 Pb 3.20
Os: 0.1267 0.1267 0.6267 [16 per cell]  6 Os 2.58-2.65
Pb: 0.2500 0.2500 0.2500 [4 per cell]  12 Os 3.07, 4 Ir 3.20

***

No. 9
Entry from the Alexandria database: a relaxed SrTl2In crystal (GGA-PBE).

Calculated values
* formation enthalpy at 0 K: -0.8 eV per formula unit

Cell: 7.9256 7.9256 7.9256 Å, 90.00 90.00 90.00°
With the nearest neighbours (Å) after each atom.
Space group F-43m (No. 216)
Asymmetric unit:
Sr: 0.0000 0.0000 0.0000 [4 per cell]  4 Tl 3.43, 4 In 3.43
Tl: 0.0000 0.0000 0.5000 [4 per cell]  4 In 3.43, 4 Tl 3.43
Tl: 0.2500 0.2500 0.2500 [4 per cell]  4 Tl 3.43, 4 Sr 3.43
In: 0.2500 0.2500 0.7500 [4 per cell]  4 Tl 3.43, 4 Sr 3.43

***

No. 10
Entry from the Alexandria database: a relaxed Pm2Ho3Tl4 crystal (GGA-PBE).

Calculated values
* energy relative to the lowest polymorph listed for this composition: 0.064 eV/atom
* formation enthalpy at 0 K: -2.1 eV per formula unit

Cell: 7.1647 16.5221 9.1374 Å, 90.00 90.00 90.00°
With the nearest neighbours (Å) after each atom.
Space group Cmce (No. 64)
Asymmetric unit:
Pm: 0.0000 0.1098 0.0767 [8 per cell]  4 Tl 3.32-3.70
Ho: 0.0000 0.0000 0.5000 [4 per cell]  6 Tl 2.94-3.10
Ho: 0.2500 0.2144 0.7500 [8 per cell]  5 Tl 3.05-3.25
Tl: 0.0000 0.1861 0.4580 [8 per cell]  5 Ho 3.09-3.25
Tl: 0.2500 0.0299 0.7500 [8 per cell]  3 Ho 2.94-3.05

***

No. 11
Entry from the Alexandria database: a relaxed GdHo2Th crystal (GGA-PBE).

Calculated values
* energy relative to the lowest polymorph listed for this composition: 0.000 eV/atom
* formation enthalpy at 0 K: 0.1 eV per formula unit

Cell: 3.5667 3.5667 34.5201 Å, 90.00 90.00 120.00°
With the nearest neighbours (Å) after each atom.
Space group R-3m (No. 166, hexagonal axes)
Asymmetric unit:
Gd: 0.0000 0.0000 0.0000 [3 per cell]  6 Gd 3.57, 6 Ho 3.59
Ho: 0.0000 0.0000 0.2481 [6 per cell]  3 Th 3.49, 6 Ho 3.57, 3 Gd 3.59
Th: 0.0000 0.0000 0.5000 [3 per cell]  6 Ho 3.49, 6 Th 3.57

***

No. 12
Entry from the Alexandria database: a relaxed As2PtPb crystal (GGA-PBE).

Calculated values
* formation enthalpy at 0 K: 0.0 eV per formula unit

Cell: 3.2522 5.5242 9.8903 Å, 90.00 90.00 90.00°
With the nearest neighbours (Å) after each atom.
Space group Immm (No. 71)
Asymmetric unit:
As: 0.0000 0.0000 0.1974 [4 per cell]  2 Pt 2.54
Pt: 0.0000 0.5000 0.5000 [2 per cell]  4 As 2.54
Pb: 0.0000 0.5000 0.0000 [2 per cell]  4 Pt 3.21, 2 Pb 3.25, 8 As 3.38-3.41

***

no.,magnetic moment (Bohr magnetons per cell)
1,0.00
2,0.90
3,0.00
4,0.00
5,0.00
6,0.00
7,0.00
8,0.00
9,0.00
10,0.00
11,22.59
12,0.00